(1)
Below is a relaxed La4Tb5Tl2 crystal, with properties calculated at the PBE-GGA level.

## Properties
Energy relative to the elements in meV per atom: 399
Total magnetization in μB per cell: 1.19

a b c (Å): 20.5019 20.5019 20.5019
angles (deg): 14.04 14.04 14.04
Element x y z (fractional)
La: 0.0650 0.0650 0.0650
La: 0.1771 0.1771 0.1771
La: 0.8229 0.8229 0.8229
La: 0.9350 0.9350 0.9350
Tb: 0.0000 0.0000 0.0000
Tb: 0.1219 0.1219 0.1219
Tb: 0.3084 0.3084 0.3084
Tb: 0.6916 0.6916 0.6916
Tb: 0.8781 0.8781 0.8781
Tl: 0.3695 0.3695 0.3695
Tl: 0.6305 0.6305 0.6305


(2)
Below is a relaxed LaTbTl2 crystal, with properties calculated at the PBE-GGA level.

## Properties
Energy relative to the elements in meV per atom: -367
Total magnetization in μB per cell: 0.00

a b c (Å): 5.1444 5.1444 4.4568
angles (deg): 90.00 90.00 90.00
Element x y z (fractional)
La: 0.0000 0.0000 0.0000
Tb: 0.5000 0.5000 0.0000
Tl: 0.0000 0.5000 0.5000
Tl: 0.5000 0.0000 0.5000


(3)
Below is a relaxed La3Tb4Tl crystal, with properties calculated at the PBE-GGA level.

## Properties
Energy relative to the elements in meV per atom: -79
Energy relative to the lowest polymorph listed for this composition in eV per atom: 0.0000
Total magnetization in μB per cell: 0.00

a b c (Å): 11.4440 7.2072 6.3153
angles (deg): 90.00 90.00 90.00
Element x y z (fractional)
La: 0.0000 0.1283 0.0000
La: 0.2365 0.1115 0.6533
La: 0.2635 0.8885 0.1533
La: 0.5000 0.8717 0.5000
La: 0.7365 0.8885 0.1533
La: 0.7635 0.1115 0.6533
Tb: 0.0000 0.3823 0.4552
Tb: 0.0000 0.6296 0.9768
Tb: 0.2390 0.6233 0.6351
Tb: 0.2610 0.3767 0.1351
Tb: 0.5000 0.3704 0.4768
Tb: 0.5000 0.6177 0.9552
Tb: 0.7390 0.3767 0.1351
Tb: 0.7610 0.6233 0.6351
Tl: 0.0000 0.8560 0.4689
Tl: 0.5000 0.1440 0.9689


(4)
Below is a relaxed La3Tb2Tl6 crystal, with properties calculated at the PBE-GGA level.

## Properties
Energy relative to the elements in meV per atom: -169
Total magnetization in μB per cell: 0.00

a b c (Å): 14.9638 14.9638 14.9638
angles (deg): 160.97 160.97 27.04
Element x y z (fractional)
La: 0.0000 0.0000 0.0000
La: 0.1973 0.1973 0.0000
La: 0.8027 0.8027 0.0000
Tb: 0.4448 0.4448 0.0000
Tb: 0.5552 0.5552 0.0000
Tl: 0.1159 0.6159 0.5000
Tl: 0.3090 0.3090 0.0000
Tl: 0.3841 0.8841 0.5000
Tl: 0.6159 0.1159 0.5000
Tl: 0.6910 0.6910 0.0000
Tl: 0.8841 0.3841 0.5000


(5)
Below is a relaxed La12TbTl3 crystal, with properties calculated at the PBE-GGA level.

## Properties
Energy relative to the elements in meV per atom: -172
Total magnetization in μB per cell: 0.00

a b c (Å): 5.0888 5.0888 20.6105
angles (deg): 90.00 90.00 90.00
Element x y z (fractional)
La: 0.0000 0.0000 0.0000
La: 0.0000 0.0000 0.2462
La: 0.0000 0.0000 0.5000
La: 0.0000 0.0000 0.7538
La: 0.0000 0.5000 0.1233
La: 0.0000 0.5000 0.3707
La: 0.0000 0.5000 0.6293
La: 0.0000 0.5000 0.8767
La: 0.5000 0.0000 0.1233
La: 0.5000 0.0000 0.3707
La: 0.5000 0.0000 0.6293
La: 0.5000 0.0000 0.8767
Tb: 0.5000 0.5000 0.5000
Tl: 0.5000 0.5000 0.0000
Tl: 0.5000 0.5000 0.2454
Tl: 0.5000 0.5000 0.7546


(6)
Below is a relaxed LaTb4Tl crystal, with properties calculated at the PBE-GGA level.

## Properties
Energy relative to the elements in meV per atom: -44
Energy relative to the lowest polymorph listed for this composition in eV per atom: 0.0559
Total magnetization in μB per cell: 0.00

a b c (Å): 9.0995 9.0995 7.7679
angles (deg): 90.00 90.00 144.01
Element x y z (fractional)
La: 0.1815 0.8185 0.5000
La: 0.8185 0.1815 0.0000
Tb: 0.0087 0.9913 0.7681
Tb: 0.1700 0.8300 0.0096
Tb: 0.3525 0.6475 0.2184
Tb: 0.4833 0.5167 0.5137
Tb: 0.5167 0.4833 0.0137
Tb: 0.6475 0.3525 0.7184
Tb: 0.8300 0.1700 0.5096
Tb: 0.9913 0.0087 0.2681
Tl: 0.3424 0.6576 0.7736
Tl: 0.6576 0.3424 0.2736


(7)
Below is a relaxed La7Tb12Tl crystal, with properties calculated at the PBE-GGA level.

## Properties
Energy relative to the elements in meV per atom: 155
Total magnetization in μB per cell: 0.00

a b c (Å): 8.8282 8.8282 8.8282
angles (deg): 88.88 88.88 88.88
Element x y z (fractional)
La: 0.0000 0.0000 0.0000
La: 0.1244 0.7115 0.2748
La: 0.2748 0.1244 0.7115
La: 0.2885 0.7252 0.8756
La: 0.7115 0.2748 0.1244
La: 0.7252 0.8756 0.2885
La: 0.8756 0.2885 0.7252
Tb: 0.0413 0.1575 0.3791
Tb: 0.1575 0.3791 0.0413
Tb: 0.1651 0.4936 0.6147
Tb: 0.3791 0.0413 0.1575
Tb: 0.3853 0.8349 0.5064
Tb: 0.4936 0.6147 0.1651
Tb: 0.5064 0.3853 0.8349
Tb: 0.6147 0.1651 0.4936
Tb: 0.6209 0.9587 0.8425
Tb: 0.8349 0.5064 0.3853
Tb: 0.8425 0.6209 0.9587
Tb: 0.9587 0.8425 0.6209
Tl: 0.5000 0.5000 0.5000


(8)
Below is a relaxed LaTb3Tl3 crystal, with properties calculated at the PBE-GGA level.

## Properties
Energy relative to the elements in meV per atom: -274
Energy relative to the lowest polymorph listed for this composition in eV per atom: 0.0000
Total magnetization in μB per cell: 0.00

a b c (Å): 9.6083 9.6083 5.2668
angles (deg): 90.00 90.00 120.00
Element x y z (fractional)
La: 0.3333 0.6667 0.2500
La: 0.6667 0.3333 0.7500
Tb: 0.0032 0.7688 0.7500
Tb: 0.2312 0.2344 0.7500
Tb: 0.2344 0.0032 0.2500
Tb: 0.7656 0.9968 0.7500
Tb: 0.7688 0.7656 0.2500
Tb: 0.9968 0.2312 0.2500
Tl: 0.0700 0.4472 0.7500
Tl: 0.3772 0.9300 0.7500
Tl: 0.4472 0.3772 0.2500
Tl: 0.5528 0.6228 0.7500
Tl: 0.6228 0.0700 0.2500
Tl: 0.9300 0.5528 0.2500


(9)
Below is a relaxed La5Tb4Tl4 crystal, with properties calculated at the PBE-GGA level.

## Properties
Energy relative to the elements in meV per atom: -262
Total magnetization in μB per cell: 0.00

a b c (Å): 9.5089 9.5089 9.5089
angles (deg): 94.09 94.09 149.04
Element x y z (fractional)
La: 0.0000 0.0000 0.0000
La: 0.3028 0.6104 0.9132
La: 0.3896 0.3028 0.6924
La: 0.6104 0.6972 0.3076
La: 0.6972 0.3896 0.0868
Tb: 0.0930 0.4021 0.4950
Tb: 0.4021 0.9070 0.3091
Tb: 0.5979 0.0930 0.6909
Tb: 0.9070 0.5979 0.5050
Tl: 0.0891 0.7598 0.8488
Tl: 0.2402 0.0891 0.3293
Tl: 0.7598 0.9109 0.6707
Tl: 0.9109 0.2402 0.1512


(10)
Below is a relaxed La2Tb6Tl crystal, with properties calculated at the PBE-GGA level.

## Properties
Energy relative to the elements in meV per atom: 3
Total magnetization in μB per cell: 0.00

a b c (Å): 9.8223 10.4389 5.6349
angles (deg): 90.00 90.00 90.00
Element x y z (fractional)
La: 0.1886 0.2458 0.0000
La: 0.3114 0.7458 0.5000
La: 0.6886 0.2542 0.5000
La: 0.8114 0.7542 0.0000
Tb: 0.0163 0.1791 0.5000
Tb: 0.1404 0.5997 0.0000
Tb: 0.1794 0.9214 0.0000
Tb: 0.3206 0.4214 0.5000
Tb: 0.3596 0.0997 0.5000
Tb: 0.4837 0.6791 0.0000
Tb: 0.5163 0.3209 0.0000
Tb: 0.6404 0.9003 0.5000
Tb: 0.6794 0.5786 0.5000
Tb: 0.8206 0.0786 0.0000
Tb: 0.8596 0.4003 0.0000
Tb: 0.9837 0.8209 0.5000
Tl: 0.0000 0.5000 0.5000
Tl: 0.5000 0.0000 0.0000


(11)
Below is a relaxed La2Tb2Tl3 crystal, with properties calculated at the PBE-GGA level.

## Properties
Energy relative to the elements in meV per atom: -257
Energy relative to the lowest polymorph listed for this composition in eV per atom: 0.0000
Total magnetization in μB per cell: 0.90

a b c (Å): 16.7925 16.7925 3.6175
angles (deg): 90.00 90.00 167.78
Element x y z (fractional)
La: 0.0705 0.9295 0.0000
La: 0.9295 0.0705 0.0000
Tb: 0.2037 0.7963 0.0000
Tb: 0.7963 0.2037 0.0000
Tl: 0.3589 0.6411 0.5000
Tl: 0.5000 0.5000 0.5000
Tl: 0.6411 0.3589 0.5000


(12)
Below is a relaxed La2TbTmTl2 crystal, with properties calculated at the PBE-GGA level.

## Properties
Energy relative to the elements in meV per atom: -285
Total magnetization in μB per cell: 0.00

a b c (Å): 5.0949 10.2521 6.9963
angles (deg): 90.00 90.00 90.00
Element x y z (fractional)
La: 0.0000 0.0621 0.0000
La: 0.0000 0.9379 0.5000
La: 0.5000 0.1768 0.2253
La: 0.5000 0.8232 0.7253
Tb: 0.5000 0.4569 0.8728
Tb: 0.5000 0.5431 0.3728
Tm: 0.0000 0.3069 0.5798
Tm: 0.0000 0.6931 0.0798
Tl: 0.0000 0.3913 0.1364
Tl: 0.0000 0.6087 0.6364
Tl: 0.5000 0.1520 0.7091
Tl: 0.5000 0.8480 0.2091